Record 1
# Na3Ca5F12

Crystalline Na3Ca5F12 at its relaxed geometry (GGA-PBE, Alexandria via LeMat-Bulk).

POSCAR file:
```
Na3Ca5F12
1.0
12.0357 0.0000 0.0000
-4.0119 11.3474 0.0000
-4.0119 -5.6737 9.8271
F Ca Na
48 20 12
Cartesian
6.4025 4.0330 6.0055
0.8681 7.8470 2.8991
6.3556 1.3262 5.3461
6.8860 7.0978 3.3317
1.6214 -0.3476 1.5819
0.8681 2.0763 0.4326
4.3497 6.9999 4.4810
8.4084 -1.6407 3.8216
4.9269 4.2278 1.5245
4.9269 7.7169 0.4899
2.3906 6.0213 8.2453
-0.9150 -2.0432 9.3372
-4.3965 7.3144 6.0055
3.0969 6.2710 2.0144
-1.0910 5.0764 2.0144
-1.6682 8.8912 3.3891
0.3378 -4.5438 8.7352
5.6801 -3.2175 6.4381
-2.3437 4.3474 4.4810
3.1438 -2.1733 6.9280
-0.9150 1.4459 8.3026
-6.3556 4.5438 8.7352
3.6742 10.2175 1.0919
0.3377 3.2175 6.4381
-2.3906 1.6407 3.8216
-1.6213 6.9668 5.4035
2.8741 2.1733 6.9280
3.1438 3.5974 9.3946
4.3965 0.3476 1.5819
2.8741 -3.5974 9.3946
-0.3846 5.3261 8.2453
3.6742 2.4561 3.3891
-2.9210 7.1196 1.5245
9.1148 3.6305 0.4899
5.6333 -1.2931 4.4236
6.9329 -1.4459 8.3026
0.3846 1.2931 4.4236
3.6273 4.3806 5.4035
1.1378 9.2711 0.4326
1.1378 3.5004 2.8991
10.3675 1.1299 1.0919
-2.8741 -1.4241 6.4954
-0.3377 -1.3262 5.3461
5.1029 0.5973 7.8127
0.9150 -0.5973 7.8127
-5.1029 2.0432 9.3372
-3.1438 1.4241 6.4954
7.1557 4.2496 3.3317
-2.0060 -2.8368 4.9136
4.0119 5.6737 0.0000
3.0089 2.1276 1.2284
5.0149 2.8368 7.3703
2.0060 2.8368 4.9136
6.0179 0.0000 0.0000
-4.0119 2.8368 4.9136
3.0089 8.5105 2.4568
4.0119 -2.8368 4.9136
-3.0089 6.3829 3.6852
5.0149 -3.5461 8.5987
1.0030 3.5461 8.5987
7.0208 -0.7092 6.1420
5.0149 4.9645 3.6852
1.0030 -2.8368 7.3703
-1.0030 9.2198 1.2284
-1.0030 2.8368 2.4568
0.0000 0.0000 0.0000
-1.0030 0.7092 6.1420
-2.0060 5.6737 0.0000
3.0089 0.0000 7.3703
-1.0030 4.9645 6.1420
7.0208 7.8013 1.2284
3.0089 6.3829 6.1420
-5.0149 5.6737 7.3703
-3.0089 2.1276 8.5987
9.0268 0.0000 2.4568
1.0030 -0.7092 3.6852
7.0208 3.5461 1.2284
5.0149 0.7092 3.6852
1.0030 5.6737 2.4568
-3.0089 -2.1276 8.5987
```

Properties
- Formation energy from raw total energies: -3.348 eV per atom
- Density of states at the Fermi level: 6.4 states/eV/cell
- E: -5.17 eV/atom
- Crystal system: cubic

Record 2
# Zr2PH2

Crystalline Zr2PH2 at its relaxed geometry (GGA-PBE, Alexandria via LeMat-Bulk).

POSCAR file:
```
Zr2PH2
1.0
-0.2285 2.0116 2.6047
-2.8738 -1.3944 0.8248
1.2397 -3.5403 4.9320
H Zr P
2 2 1
Cartesian
-0.2700 -0.6101 4.6257
-1.5926 -2.3130 3.7357
-0.8219 -0.6971 2.5553
-1.0406 -2.2260 5.8061
0.0000 0.0000 0.0000
```

Properties
- Offset from the most stable computed form: 0.0 meV per atom
- Density of states at the Fermi level: 1.5 states/eV/cell
- E: -6.60 eV/atom
- Crystal system: tetragonal